ZrAs | PBE | optimized geometry

* final energy: -7.2801 eV per atom
* magnetization: 0.0 μB per formula unit

a = 5.085 Å, b = 8.135 Å, c = 5.094 Å
α = 90.00°, β = 90.00°, γ = 71.78°
Fractional positions:
Zr: 0.301 0.565 0.000
As: 0.489 0.188 0.000
Zr: 0.807 0.557 0.500
As: 0.674 0.800 0.000
Zr: 0.188 0.800 0.500
As: 0.877 0.412 0.000
Zr: 0.066 0.035 0.000
As: 0.003 0.163 0.500
Zr: 0.563 0.043 0.500
As: 0.366 0.437 0.500

ZnTcNO | PBE | optimized geometry

* final energy: -6.4428 eV per atom
* magnetization: 0.0 μB per formula unit

a = 4.883 Å, b = 5.706 Å, c = 6.765 Å
α = 90.00°, β = 90.00°, γ = 90.00°
Fractional positions:
Zn: 0.466 0.860 0.394
O: 0.626 0.494 0.875
Tc: 0.527 0.338 0.133
Tc: 0.527 0.838 0.867
N: 0.083 0.473 0.641
N: 0.583 0.527 0.359
Zn: 0.966 0.640 0.394
N: 0.583 0.027 0.641
Zn: 0.466 0.360 0.606
O: 0.126 0.506 0.125
O: 0.126 0.006 0.875
Tc: 0.027 0.662 0.867
Zn: 0.966 0.140 0.606
O: 0.626 0.994 0.125
N: 0.083 0.973 0.359
Tc: 0.027 0.162 0.133

ScAlFeHg | PBE | optimized geometry

* final energy: -4.7471 eV per atom
* magnetization: 1.7 μB per formula unit

a = 4.586 Å, b = 4.586 Å, c = 4.586 Å
α = 60.00°, β = 60.00°, γ = 60.00°
Fractional positions:
Fe: 0.750 0.750 0.750
Hg: 0.250 0.250 0.250
Sc: 0.500 0.500 0.500
Al: 0.000 0.000 0.000

Co3Si2Ni | PBE | optimized geometry

* final energy: -6.5699 eV per atom
* magnetization: 0.1 μB per formula unit

a = 3.720 Å, b = 3.720 Å, c = 5.270 Å
α = 90.00°, β = 90.00°, γ = 90.00°
Fractional positions:
Ni: 0.500 0.500 0.000
Co: 0.500 0.500 0.500
Co: 0.000 0.000 0.000
Co: 0.000 0.000 0.500
Si: 0.000 0.500 0.745
Si: 0.500 0.000 0.255

Cs2Gd2TeS3 | PBE | optimized geometry

* final energy: -5.0199 eV per atom
* magnetization: 0.0 μB per formula unit

a = 4.231 Å, b = 4.231 Å, c = 16.595 Å
α = 90.00°, β = 90.00°, γ = 120.00°
Fractional positions:
Cs: 0.000 0.000 0.257
S: 0.333 0.667 0.102
Gd: 0.667 0.333 0.018
Cs: 0.333 0.667 0.735
S: 0.000 0.000 0.582
S: 0.333 0.667 0.408
Te: 0.000 0.000 0.904
Gd: 0.667 0.333 0.495

Al2CdPd5 | PBE | optimized geometry

* final energy: -4.9840 eV per atom

a = 7.762 Å, b = 7.762 Å, c = 7.762 Å
α = 148.97°, β = 148.97°, γ = 44.45°
Fractional positions:
Al: 0.748 0.748 0.000
Pd: 0.500 0.500 0.000
Cd: 0.000 0.000 0.000
Pd: 0.858 0.358 0.500
Al: 0.252 0.252 0.000
Pd: 0.642 0.142 0.500
Pd: 0.358 0.858 0.500
Pd: 0.142 0.642 0.500

TmSnTe3Au | PBE | optimized geometry

* final energy: -4.1597 eV per atom
* magnetization: 0.0 μB per formula unit

a = 7.682 Å, b = 7.682 Å, c = 11.019 Å
α = 90.00°, β = 90.00°, γ = 147.92°
Fractional positions:
Te: 0.596 0.404 0.750
Te: 0.147 0.853 0.051
Tm: 0.500 0.500 0.000
Te: 0.404 0.596 0.250
Te: 0.147 0.853 0.449
Te: 0.853 0.147 0.551
Au: 0.970 0.030 0.750
Tm: 0.500 0.500 0.500
Sn: 0.280 0.720 0.750
Au: 0.030 0.970 0.250
Te: 0.853 0.147 0.949
Sn: 0.720 0.280 0.250

BaSnHgS4 | PBE | optimized geometry

* final energy: -4.1066 eV per atom

a = 10.978 Å, b = 11.046 Å, c = 6.731 Å
α = 90.00°, β = 90.00°, γ = 90.00°
Fractional positions:
S: 0.735 0.920 0.266
Sn: 0.712 0.752 0.037
Ba: 0.000 0.500 0.047
S: 0.265 0.080 0.266
Hg: 0.171 0.251 0.499
S: 0.903 0.751 0.845
S: 0.235 0.580 0.766
S: 0.052 0.748 0.298
Ba: 0.500 0.000 0.547
Hg: 0.829 0.749 0.499
Hg: 0.329 0.751 0.999
S: 0.266 0.418 0.265
Sn: 0.288 0.248 0.037
S: 0.097 0.249 0.845
Ba: 0.000 0.000 0.051
S: 0.552 0.752 0.798
Ba: 0.500 0.500 0.551
Hg: 0.671 0.249 0.999
S: 0.403 0.749 0.345
S: 0.448 0.248 0.798
S: 0.234 0.918 0.765
S: 0.597 0.251 0.345
Sn: 0.212 0.748 0.537
Sn: 0.788 0.252 0.537
S: 0.734 0.582 0.265
S: 0.766 0.082 0.765
S: 0.765 0.420 0.766
S: 0.948 0.252 0.298